A relaxed structure of SbMoAu2, computed with PBE.

Properties
The raw formation energy is 1.39 eV/f.u. The total energy comes out at -5.029 eV per atom. As for the space group: No. 25.

Cell and atoms, written as extended XYZ:
```
4
Lattice="4.9072 0.0000 0.0000 0.0000 2.8914 0.0417 0.0000 -0.0785 5.3529" Properties=species:S:1:pos:R:3 pbc="T T T"
Au 2.4536 0.3390 1.4871
Au 0.0000 0.2820 5.3429
Sb 2.4536 1.7504 4.0313
Mo 0.0000 1.7695 2.5835
```

***

A relaxed structure of SbMoAu2, computed with PBE.

Properties
The raw formation energy is 0.98 eV/f.u. The total energy comes out at -5.132 eV per atom. As for the space group: No. 99.

Cell and atoms, written as extended XYZ:
```
4
Lattice="-0.1803 2.8349 2.0093 -2.8334 1.0442 -1.7285 -3.5901 -3.0805 4.0240" Properties=species:S:1:pos:R:3 pbc="T T T"
Mo -1.8329 -1.5728 2.0545
Au -2.3958 1.1768 1.1368
Au -0.0676 -0.0580 0.0758
Sb -4.1025 -0.2876 3.0497
```

***

A relaxed structure of SbMo2Au, computed with PBE.

Properties
The raw formation energy is 2.24 eV/f.u. The total energy comes out at -6.707 eV per atom. As for the space group: No. 216.

Cell and atoms, written as extended XYZ:
```
4
Lattice="-0.2373 -2.7799 3.7421 -3.2948 -3.2966 0.2532 1.1722 -4.5038 -0.3602" Properties=species:S:1:pos:R:3 pbc="T T T"
Mo -0.5900 -2.6451 0.9088
Mo 0.0000 0.0000 0.0000
Sb -1.7700 -7.9352 2.7264
Au -1.1800 -5.2902 1.8176
```

***

A relaxed structure of SbMo2Au, computed with PBE.

Properties
The raw formation energy is 1.42 eV/f.u. The total energy comes out at -6.911 eV per atom. As for the space group: No. 12.

Cell and atoms, written as extended XYZ:
```
4
Lattice="-4.8984 -0.7517 -0.5012 -3.3713 -3.6532 -0.3149 -1.3627 -0.4150 4.7074" Properties=species:S:1:pos:R:3 pbc="T T T"
Mo -4.7969 -2.4158 1.6961
Mo -8.2891 -4.3990 -0.5665
Sb -7.2244 -3.6149 2.9185
Au -2.4081 -1.2050 0.9728
```

***

A relaxed structure of SbMoAu2, computed with PBE.

Properties
The raw formation energy is 1.57 eV/f.u. The total energy comes out at -4.983 eV per atom. As for the space group: No. 166.

Cell and atoms, written as extended XYZ:
```
4
Lattice="-6.7989 -5.6460 3.8199 -4.3913 -6.5721 5.4970 -5.9866 -4.0801 6.3409" Properties=species:S:1:pos:R:3 pbc="T T T"
Sb -12.8826 -12.2237 11.7433
Au -17.0739 -16.2006 15.5640
Au -8.6913 -8.2467 7.9227
Mo -4.2942 -4.0746 3.9144
```

***

A relaxed structure of SbMoAu2, computed with PBE.

Properties
The raw formation energy is 1.25 eV/f.u. The total energy comes out at -5.063 eV per atom. As for the space group: No. 47.

Cell and atoms, written as extended XYZ:
```
4
Lattice="3.2466 0.0000 0.0000 0.0000 4.5642 0.0000 0.0000 0.0000 5.0492" Properties=species:S:1:pos:R:3 pbc="T T T"
Sb 0.0000 2.2821 2.5246
Au 1.6233 2.2821 0.0000
Au 0.0000 0.0000 0.0000
Mo 1.6233 0.0000 2.5246
```

***

A relaxed structure of SbMoAu4, computed with PBE.

Properties
The raw formation energy is 2.67 eV/f.u. The total energy comes out at -4.232 eV per atom. As for the space group: No. 216.

Cell and atoms, written as extended XYZ:
```
6
Lattice="-3.8052 3.1940 2.5048 -3.9260 2.5358 -3.0186 -5.2872 -1.7029 0.3185" Properties=species:S:1:pos:R:3 pbc="T T T"
Au -6.7837 3.1038 1.1753
Au -4.8868 1.5116 -0.0733
Au -6.8438 2.7757 -1.5780
Au -7.5224 0.6628 0.0855
Mo -9.7638 3.0202 -0.1465
Sb 0.0000 0.0000 0.0000
```

***

A relaxed structure of SbMoAu2, computed with PBE.

Properties
The raw formation energy is 1.50 eV/f.u. The total energy comes out at -5.001 eV per atom. As for the space group: No. 139.

Cell and atoms, written as extended XYZ:
```
4
Lattice="-2.3385 4.4995 2.0366 -5.4132 -0.1802 0.7260 4.2668 -3.1632 1.2847" Properties=species:S:1:pos:R:3 pbc="T T T"
Sb -0.9737 1.7480 2.3513
Au -3.8758 2.1596 1.3813
Au 0.0000 0.0000 0.0000
Mo -2.5111 -0.5919 1.6960
```

***

A relaxed structure of SbMo2Au, computed with PBE.

Properties
The raw formation energy is 1.78 eV/f.u. The total energy comes out at -6.821 eV per atom. As for the space group: No. 123.

Cell and atoms, written as extended XYZ:
```
4
Lattice="4.3315 0.0000 0.0000 0.0000 4.0376 0.0000 0.0000 0.0000 4.0376" Properties=species:S:1:pos:R:3 pbc="T T T"
Au 2.1658 0.0000 2.0188
Sb 2.1658 2.0188 0.0000
Mo 0.0000 0.0000 0.0000
Mo 0.0000 2.0188 2.0188
```

***

A relaxed structure of SbMoAu, computed with PBE.

Properties
The raw formation energy is 1.11 eV/f.u. The total energy comes out at -5.708 eV per atom. As for the space group: No. 107.

Cell and atoms, written as extended XYZ:
```
3
Lattice="-2.3927 -4.8747 0.7785 0.0376 -4.3538 -3.3372 3.1708 3.8076 2.3542" Properties=species:S:1:pos:R:3 pbc="T T T"
Sb -1.6012 -6.2743 -1.7396
Mo -0.7616 -2.9844 -0.8275
Au -2.3474 -9.1982 -2.5503
```

***

A relaxed structure of Sb2MoAu, computed with PBE.

Properties
The raw formation energy is 0.67 eV/f.u. The total energy comes out at -5.420 eV per atom. As for the space group: No. 38.

Cell and atoms, written as extended XYZ:
```
4
Lattice="5.6404 -0.0153 -0.0075 4.5214 3.3721 -0.0075 0.0081 0.0027 4.3697" Properties=species:S:1:pos:R:3 pbc="T T T"
Sb 0.1153 0.0381 0.5445
Sb 7.3825 2.4387 2.7219
Au 4.7721 1.5764 2.7227
Mo 2.9851 0.9861 0.5429
```

***

A relaxed structure of Sb3MoAu, computed with PBE.

Properties
The raw formation energy is 6.01 eV/f.u. The total energy comes out at -4.094 eV per atom. As for the space group: No. 221.

Cell and atoms, written as extended XYZ:
```
5
Lattice="-4.7939 -2.1506 0.9738 0.2983 -2.7384 -4.5790 2.3419 -4.0535 2.5767" Properties=species:S:1:pos:R:3 pbc="T T T"
Sb 0.1492 -1.3692 -2.2895
Sb 1.1709 -2.0268 1.2884
Sb -2.3970 -1.0753 0.4869
Au 0.0000 0.0000 0.0000
Mo -1.0769 -4.4713 -0.5142
```

***

A relaxed structure of SbMo2Au, computed with PBE.

Properties
The raw formation energy is 1.33 eV/f.u. The total energy comes out at -6.934 eV per atom. As for the space group: No. 25.

Cell and atoms, written as extended XYZ:
```
4
Lattice="4.6055 0.0000 0.0000 0.0000 3.1664 -0.1637 0.0000 0.2541 4.8457" Properties=species:S:1:pos:R:3 pbc="T T T"
Mo 0.0000 0.6413 4.6496
Mo 2.3028 0.4663 1.3395
Sb 0.0000 2.0899 2.0369
Au 2.3028 2.1872 3.8428
```

***

A relaxed structure of SbMo2Au, computed with PBE.

Properties
The raw formation energy is 1.59 eV/f.u. The total energy comes out at -6.867 eV per atom. As for the space group: No. 71.

Cell and atoms, written as extended XYZ:
```
4
Lattice="-2.8631 -4.3459 1.3575 0.3465 -1.4969 5.1542 -1.3542 4.0965 -3.2111" Properties=species:S:1:pos:R:3 pbc="T T T"
Au -2.7378 -1.5854 0.7011
Mo -1.2227 -2.8387 3.1637
Mo -0.0356 -0.0826 0.0921
Sb -1.1330 -0.1609 2.5995
```

***

A relaxed structure of Sb3MoAu, computed with PBE.

Properties
The raw formation energy is 2.74 eV/f.u. The total energy comes out at -4.747 eV per atom. As for the space group: No. 221.

Cell and atoms, written as extended XYZ:
```
5
Lattice="-1.3717 -4.9558 0.7703 3.5693 -1.5256 -3.4594 3.5233 -0.3839 3.8045" Properties=species:S:1:pos:R:3 pbc="T T T"
Sb 1.7846 -0.7628 -1.7297
Sb 1.7616 -0.1919 1.9022
Sb -0.6858 -2.4779 0.3851
Mo 0.0000 0.0000 0.0000
Au 2.8604 -3.4326 0.5576
```

***

A relaxed structure of SbMoAu2, computed with PBE.

Properties
The raw formation energy is 1.24 eV/f.u. The total energy comes out at -5.068 eV per atom. As for the space group: No. 123.

Cell and atoms, written as extended XYZ:
```
4
Lattice="4.0859 0.0000 0.0000 0.0000 4.0859 0.0000 0.0000 0.0000 4.4730" Properties=species:S:1:pos:R:3 pbc="T T T"
Au 2.0430 2.0430 0.0000
Au 0.0000 0.0000 0.0000
Sb 0.0000 2.0430 2.2365
Mo 2.0430 0.0000 2.2365
```

***

A relaxed structure of SbMo2Au, computed with PBE.

Properties
The raw formation energy is 1.36 eV/f.u. The total energy comes out at -6.925 eV per atom. As for the space group: No. 35.

Cell and atoms, written as extended XYZ:
```
4
Lattice="-2.0741 1.7921 0.9766 -0.6562 -0.7413 -2.7363 -4.9584 -7.4926 3.2188" Properties=species:S:1:pos:R:3 pbc="T T T"
Sb -2.3450 -3.5435 1.5223
Au -5.2452 -5.3377 1.6389
Mo -2.4802 -1.1595 -0.1560
Mo -0.0975 -0.1474 0.0633
```

***

A relaxed structure of Sb2MoAu, computed with PBE.

Properties
The raw formation energy is 1.75 eV/f.u. The total energy comes out at -5.151 eV per atom. As for the space group: No. 119.

Cell and atoms, written as extended XYZ:
```
4
Lattice="5.7170 -0.0018 0.0000 2.7507 5.0118 0.0000 -4.2339 -2.5050 2.9127" Properties=species:S:1:pos:R:3 pbc="T T T"
Sb 0.0000 0.0000 0.0000
Sb 1.3753 2.5059 1.4564
Au 4.2339 2.5050 0.0000
Mo 2.8585 -0.0009 1.4564
```

***

A relaxed structure of SbMoAu, computed with PBE.

Properties
The raw formation energy is 1.23 eV/f.u. The total energy comes out at -5.668 eV per atom. As for the space group: No. 107.

Cell and atoms, written as extended XYZ:
```
3
Lattice="7.5376 0.4422 0.0000 6.1176 4.4255 0.0000 -6.8276 -2.4339 2.1144" Properties=species:S:1:pos:R:3 pbc="T T T"
Mo 4.6174 1.6460 0.0000
Sb 9.5127 3.3910 0.0000
Au 13.1804 4.6985 0.0000
```

***

A relaxed structure of SbMoAu2, computed with PBE.

Properties
The raw formation energy is 1.26 eV/f.u. The total energy comes out at -5.061 eV per atom. As for the space group: No. 65.

Cell and atoms, written as extended XYZ:
```
4
Lattice="5.3101 0.1731 -0.4318 -2.5890 4.6394 -0.4318 0.2259 0.3996 2.9257" Properties=species:S:1:pos:R:3 pbc="T T T"
Mo 2.7680 0.2864 1.2470
Sb -1.1815 2.5195 1.2470
Au 1.3606 2.4063 -0.4318
Au 0.0000 0.0000 0.0000
```

***

A relaxed structure of TaSbMo2Au, computed with PBE.

Properties
The raw formation energy is 9.78 eV/f.u. The total energy comes out at -6.226 eV per atom. As for the space group: No. 123.

Cell and atoms, written as extended XYZ:
```
5
Lattice="-0.5064 2.7473 -3.9666 -3.3172 -3.2748 -1.8446 -3.6021 2.4384 2.1487" Properties=species:S:1:pos:R:3 pbc="T T T"
Sb 0.0000 0.0000 0.0000
Mo -0.2532 1.3736 -1.9833
Mo -1.8010 1.2192 1.0744
Ta -1.6586 -1.6374 -0.9223
Au -3.7128 0.9555 -1.8312
```

***

A relaxed structure of SbTe2MoAu, computed with PBE.

Properties
The raw formation energy is 2.97 eV/f.u. The total energy comes out at -4.309 eV per atom. As for the space group: No. 123.

Cell and atoms, written as extended XYZ:
```
5
Lattice="5.2173 0.0000 0.0000 0.0000 5.2173 0.0000 0.0000 0.0000 5.3161" Properties=species:S:1:pos:R:3 pbc="T T T"
Te 0.0000 2.6087 0.0000
Te 2.6087 0.0000 0.0000
Mo 0.0000 0.0000 0.0000
Au 2.6087 2.6087 2.6581
Sb 0.0000 0.0000 2.6581
```

***

A relaxed structure of SbTe2MoAu, computed with PBE.

Properties
The raw formation energy is 5.77 eV/f.u. The total energy comes out at -3.748 eV per atom. As for the space group: No. 123.

Cell and atoms, written as extended XYZ:
```
5
Lattice="5.4818 0.0000 0.0000 0.0000 5.4818 0.0000 0.0000 0.0000 5.2358" Properties=species:S:1:pos:R:3 pbc="T T T"
Mo 2.7409 2.7409 2.6179
Te 0.0000 2.7409 0.0000
Te 2.7409 0.0000 0.0000
Sb 0.0000 0.0000 2.6179
Au 0.0000 0.0000 0.0000
```

***

A relaxed structure of ScMo2Au, computed with PBE.

Properties
The formation energy comes out at 0.46 eV per atom. The total energy comes out at -7.356 eV per atom. As for the space group: No. 225.

Cell and atoms, written as extended XYZ:
```
4
Lattice="0.6508 -2.5261 3.7949 -3.2554 -0.1481 3.2538 -2.4359 -3.8542 0.6462" Properties=species:S:1:pos:R:3 pbc="T T T"
Sc 0.0000 0.0000 0.0000
Mo -3.7803 -4.8963 5.7712
Mo -1.2601 -1.6321 1.9237
Au -2.5202 -3.2642 3.8475
```

***

A relaxed structure of ScMo2Au, computed with PBE.

Properties
The formation energy comes out at 0.02 eV per atom. The total energy comes out at -7.798 eV per atom. As for the space group: No. 35.

Cell and atoms, written as extended XYZ:
```
4
Lattice="-0.0694 0.1875 -2.8582 -0.0024 -2.7647 0.7521 -9.0106 0.0684 0.2232" Properties=species:S:1:pos:R:3 pbc="T T T"
Sc -4.4608 0.0339 0.1105
Au -6.8236 -1.2370 -0.8849
Mo -2.1823 -1.2723 -0.9999
Mo -0.1209 0.0009 0.0030
```

***

A relaxed structure of ScMo2Au, computed with PBE.

Properties
The formation energy comes out at -0.10 eV per atom. The total energy comes out at -7.922 eV per atom. As for the space group: No. 99.

Cell and atoms, written as extended XYZ:
```
4
Lattice="3.2998 0.0000 0.0000 0.0000 3.2998 0.0000 0.0000 0.0000 6.4421" Properties=species:S:1:pos:R:3 pbc="T T T"
Mo 0.0000 0.0000 0.1712
Mo 1.6499 1.6499 1.4702
Au 1.6499 1.6499 4.8171
Sc 0.0000 0.0000 3.2047
```

***

A relaxed structure of ScMo2Au, computed with PBE.

Properties
The formation energy comes out at 0.02 eV per atom. The total energy comes out at -7.796 eV per atom. As for the space group: No. 119.

Cell and atoms, written as extended XYZ:
```
4
Lattice="-1.3460 -4.0849 1.6363 4.1259 -1.7627 -1.0222 -0.3045 3.7503 2.6491" Properties=species:S:1:pos:R:3 pbc="T T T"
Mo 2.6057 -0.4681 0.9670
Mo 0.0000 0.0000 0.0000
Au -0.1303 -1.6292 2.2962
Sc 1.3900 -2.9238 0.3071
```

***

A relaxed structure of ScMo3Au, computed with PBE.

Properties
The formation energy comes out at 1.86 eV per atom. The total energy comes out at -6.562 eV per atom. As for the space group: No. 221.

Cell and atoms, written as extended XYZ:
```
5
Lattice="4.5728 0.0000 0.0000 0.0000 4.5728 0.0000 0.0000 0.0000 4.5728" Properties=species:S:1:pos:R:3 pbc="T T T"
Mo 0.0000 0.0000 2.2864
Mo 2.2864 0.0000 0.0000
Mo 0.0000 2.2864 0.0000
Sc 0.0000 0.0000 0.0000
Au 2.2864 2.2864 2.2864
```

***

A relaxed structure of ScMo2Au, computed with PBE.

Properties
The formation energy comes out at 0.12 eV per atom. The total energy comes out at -7.700 eV per atom. As for the space group: No. 160.

Cell and atoms, written as extended XYZ:
```
4
Lattice="-6.5396 1.0581 5.9362 -8.1778 0.0445 3.4995 -6.7891 -1.9899 5.3920" Properties=species:S:1:pos:R:3 pbc="T T T"
Sc -10.6978 -0.4413 7.3756
Mo -15.9975 -0.6600 11.0295
Mo -0.1584 -0.0065 0.1092
Au -5.4061 -0.2230 3.7272
```

***

A relaxed structure of ScMoAu3, computed with PBE.

Properties
The formation energy comes out at 0.77 eV per atom. The total energy comes out at -4.632 eV per atom. As for the space group: No. 221.

Cell and atoms, written as extended XYZ:
```
5
Lattice="-3.8969 0.0447 3.1358 -3.0491 -1.2244 -3.7716 0.7338 -4.8497 0.9811" Properties=species:S:1:pos:R:3 pbc="T T T"
Sc -3.1060 -3.0147 0.1727
Au -1.5245 -0.6122 -1.8858
Au 0.3669 -2.4249 0.4906
Au -1.9484 0.0224 1.5679
Mo 0.0000 0.0000 0.0000
```